# Sr3Ac3NiO8 | Alexandria via LeMat-Bulk | PBE+U | optimized geometry
# Calculated total energy = -6.49 eV per atom
data_Sr3Ac3NiO8
_chemical_formula_sum 'Sr6 Ac6 Ni2 O16'
_cell_length_a 12.752
_cell_length_b 7.258
_cell_length_c 7.259
_cell_angle_alpha 90.00
_cell_angle_beta 124.40
_cell_angle_gamma 90.00
_symmetry_space_group_name_H-M 'C 1 2/m 1'
_symmetry_Int_Tables_number 12
loop_
_symmetry_equiv_pos_as_xyz
'x,y,z'
'-x,-y,-z'
'-x,y,-z'
'x,-y,z'
'x+1/2,y+1/2,z'
'-x+1/2,-y+1/2,-z'
'-x+1/2,y+1/2,-z'
'x+1/2,-y+1/2,z'
loop_
_atom_site_label
_atom_site_fract_x
_atom_site_fract_y
_atom_site_fract_z
Sr1 0.000 0.000 0.000
Sr2 0.250 0.250 0.500
Ac1 0.000 0.500 0.500
Ac2 0.250 0.250 0.000
Ni1 0.000 0.000 0.500
O1 0.007 0.232 0.730
O2 0.238 0.500 0.226
O3 0.249 0.500 0.747